Record 1
Compound: GeCN2O
Source: Alexandria
Functional: PBE-GGA
Structure: relaxed

Its space-group type is P4/mmm.

a = 3.8629 Å, b = 3.8629 Å, c = 3.6778 Å
α = 90.00°, β = 90.00°, γ = 90.00°
Closest atoms and distances in Å follow each position.
Element x y z (fractional)
Ge  0.0000  0.0000  0.0000  2 O 1.84, 4 N 1.93
C  0.5000  0.5000  0.5000  8 N 2.67, 4 O 2.73
O  0.0000  0.0000  0.5000  2 Ge 1.84
N  0.0000  0.5000  0.0000  2 Ge 1.93
N  0.5000  0.0000  0.0000  2 Ge 1.93



Record 2
Compound: GeCN2O
Source: Alexandria
Functional: PBE-GGA
Structure: relaxed

Its space-group type is P4/mmm.

a = 3.0046 Å, b = 3.0046 Å, c = 6.2371 Å
α = 90.00°, β = 90.00°, γ = 90.00°
Closest atoms and distances in Å follow each position.
Element x y z (fractional)
Ge  0.5000  0.5000  0.5000  4 O 2.12
C  0.0000  0.0000  0.0000  4 N 1.50
O  0.0000  0.0000  0.5000  4 Ge 2.12
N  0.0000  0.5000  0.0000  2 C 1.50
N  0.5000  0.0000  0.0000  2 C 1.50



Record 3
Compound: GePbC2N
Source: Alexandria
Functional: PBE-GGA
Structure: relaxed

Its space-group type is P4/mmm.

a = 3.9216 Å, b = 4.7983 Å, c = 3.9216 Å
α = 90.00°, β = 90.00°, γ = 90.00°
Closest atoms and distances in Å follow each position.
Element x y z (fractional)
Pb  0.0000  0.5000  0.0000  2 N 2.40
Ge  0.5000  0.5000  0.5000  4 Pb 2.77, 8 C 3.10
C  0.0000  0.0000  0.5000  2 N 1.96
C  0.5000  0.0000  0.0000  2 N 1.96
N  0.0000  0.0000  0.0000  4 C 1.96



no.,raw formation energy (meV/atom)
1,2134
2,1420
3,2697